Density functional theory data (PBE) for a relaxed ScTeSe2 crystal.

Lattice parameters (Å, degrees): 6.8753 6.8753 4.6313 97.29 97.29 29.80
Fractional coordinates of all 4 atoms:
Sc 0.0000 0.0000 0.0000
Te 0.6949 0.6949 0.2222
Se 0.3583 0.3583 0.8568
Se 0.5352 0.5352 0.5017

Values from the calculation:
Spin magnetization   0.00 μB/f.u.
Formation energy (no corrections)   -3.0 eV per formula unit
Electronic total energy   -4.871 eV per atom


Density functional theory data (PBE) for a relaxed Sc3Te2Se2 crystal.

Lattice parameters (Å, degrees): 7.1284 7.1284 6.8484 104.24 104.24 32.89
Fractional coordinates of all 7 atoms:
Sc 0.0000 0.0000 0.0000
Sc 0.2542 0.2542 0.7394
Sc 0.7458 0.7458 0.2606
Te 0.3848 0.3848 0.1587
Te 0.6152 0.6152 0.8413
Se 0.1359 0.1359 0.3596
Se 0.8641 0.8641 0.6404

Values from the calculation:
Spin magnetization   0.00 μB/f.u.
Formation energy (no corrections)   -10.3 eV per formula unit
Electronic total energy   -6.073 eV per atom
Polymorph energy (0 for the lowest one)   0.08 kcal/mol of atoms


Density functional theory data (PBE) for a relaxed Sc3TeSe crystal.

Lattice parameters (Å, degrees): 5.0199 5.0199 5.0199 90.00 90.00 90.00
Fractional coordinates of all 5 atoms:
Sc 0.0000 0.0000 0.5000
Sc 0.0000 0.5000 0.0000
Sc 0.5000 0.0000 0.0000
Te 0.5000 0.5000 0.5000
Se 0.0000 0.0000 0.0000

Values from the calculation:
Spin magnetization   1.10 μB/f.u.
Formation energy (no corrections)   -2.7 eV per formula unit
Electronic total energy   -5.665 eV per atom
Polymorph energy (0 for the lowest one)   12.07 kcal/mol of atoms


Density functional theory data (PBE) for a relaxed Sc8TeSe6 crystal.

Lattice parameters (Å, degrees): 9.9642 9.9642 3.8632 90.00 90.00 120.00
Fractional coordinates of all 15 atoms:
Sc 0.0332 0.3195 0.2631
Sc 0.2862 0.9668 0.2631
Sc 0.3195 0.2862 0.7369
Sc 0.3333 0.6667 0.7421
Sc 0.6667 0.3333 0.2579
Sc 0.6805 0.7138 0.2631
Sc 0.7138 0.0332 0.7369
Sc 0.9668 0.6805 0.7369
Te 0.0000 0.0000 0.5000
Se 0.1312 0.6564 0.2417
Se 0.3436 0.4748 0.2417
Se 0.4748 0.1312 0.7583
Se 0.5252 0.8688 0.2417
Se 0.6564 0.5252 0.7583
Se 0.8688 0.3436 0.7583

Values from the calculation:
Spin magnetization   0.00 μB/f.u.
Formation energy (no corrections)   -18.2 eV per formula unit
Electronic total energy   -6.196 eV per atom